# SrCaZrVO6 PBE with a Hubbard U optimized geometry
data_SrCaZrVO6
_cell_length_a 8.042
_cell_length_b 8.042
_cell_length_c 8.042
_cell_angle_alpha 90.00
_cell_angle_beta 90.00
_cell_angle_gamma 90.00
_space_group_name_H-M_alt 'F -4 3 m'
_space_group_IT_number 216
_space_group_name_Hall 'F -4 2 3'
loop_
_atom_site_label
_atom_site_fract_x
_atom_site_fract_y
_atom_site_fract_z
Sr1 0.000 0.000 0.000
Ca1 0.000 0.000 0.500
Zr1 0.250 0.250 0.250
V1 0.250 0.250 0.750
O1 0.009 0.250 0.750
# E_tot, eV/atom: -7.7048